CsSn2Pd | PBE-GGA | relaxed

extended XYZ file:
```
8
Lattice="-3.392 -0.037 -5.170 5.165 -0.283 -3.387 0.590 -8.618 -4.024" Properties=species:S:1:pos:R:3 pbc="T T T"
Pd 0.887 -0.160 -4.279
Cs -0.958 -4.407 -6.736
Sn 2.106 -2.345 -5.059
Pd 3.321 -4.530 -5.845
Cs 0.000 0.000 0.000
Sn 2.396 -6.654 -7.072
Sn 0.706 -6.672 -9.661
Sn -0.481 -2.204 -3.371
```

Results
DFT total energy	-3.64	eV/atom

=====

Ce3SnBi4 | PBE-GGA | relaxed

extended XYZ file:
```
8
Lattice="6.519 0.000 0.000 0.000 6.519 0.000 0.000 0.000 6.519" Properties=species:S:1:pos:R:3 pbc="T T T"
Bi 0.000 0.000 3.259
Bi 3.259 0.000 0.000
Bi 3.259 3.259 3.259
Bi 0.000 3.259 0.000
Ce 3.259 0.000 3.259
Sn 0.000 0.000 0.000
Ce 0.000 3.259 3.259
Ce 3.259 3.259 0.000
```

Results
DFT total energy	-5.20	eV/atom

=====

HfUPaSn | PBE-GGA | relaxed

extended XYZ file:
```
4
Lattice="5.111 0.000 0.000 2.556 4.426 0.000 2.556 1.475 4.173" Properties=species:S:1:pos:R:3 pbc="T T T"
Hf 2.556 1.475 1.043
U 5.111 2.951 2.087
Pa 7.667 4.426 3.130
Sn 0.000 0.000 0.000
```

Results
DFT total energy	-8.50	eV/atom

=====

Pm3ErPb5 | PBE-GGA | relaxed

extended XYZ file:
```
18
Lattice="6.598 0.000 0.000 0.000 9.668 0.000 0.000 -4.834 8.373" Properties=species:S:1:pos:R:3 pbc="T T T"
Pb 4.948 6.936 0.000
Pb 4.948 1.366 2.366
Er 0.000 0.000 0.000
Pm 4.948 -1.847 3.200
Pm 4.948 2.987 5.173
Pb 0.000 4.834 2.791
Pb 0.000 0.000 5.582
Pm 1.649 5.973 0.000
Pb 4.948 -3.468 6.007
Pm 1.649 -2.987 5.173
Er 3.299 0.000 0.000
Pb 1.649 3.468 6.007
Pm 1.649 1.847 3.200
Pm 4.948 3.695 0.000
Pb 1.649 -1.366 2.366
Pb 1.649 2.732 0.000
Pb 3.299 4.834 2.791
Pb 3.299 0.000 5.582
```

Results
DFT total energy	-4.62	eV/atom

=====

ZnSbIr2 | PBE-GGA | relaxed

extended XYZ file:
```
4
Lattice="4.759 0.000 0.000 0.000 3.073 -0.002 0.000 0.003 4.494" Properties=species:S:1:pos:R:3 pbc="T T T"
Sb 0.000 1.155 2.310
Ir 2.380 1.153 1.042
Zn 2.380 2.690 3.337
Ir 0.000 2.690 0.047
```

Results
relative energy among the computed polymorphs	117.7	meV/atom
formation energy without anion corrections	76	meV/atom
DFT total energy	-5.70	eV/atom

=====

KRbBa | PBE-GGA | relaxed

extended XYZ file:
```
6
Lattice="7.421 0.000 0.001 3.710 6.426 0.000 0.000 -0.001 9.484" Properties=species:S:1:pos:R:3 pbc="T T T"
K 4.586 4.146 5.321
Rb 8.296 6.288 1.853
Ba 8.297 2.003 8.265
Rb 8.296 2.004 3.665
K 4.586 4.146 0.197
Ba 8.296 6.287 6.737
```

Results
relative energy among the computed polymorphs	42.0	meV/atom
DFT total energy	-1.21	eV/atom

=====

TeRh2Au | PBE-GGA | relaxed

extended XYZ file:
```
4
Lattice="1.616 4.964 -0.683 -1.616 4.964 -0.683 0.000 0.602 4.353" Properties=species:S:1:pos:R:3 pbc="T T T"
Te 0.000 5.096 0.964
Rh 0.000 2.389 1.334
Rh 0.000 0.826 3.769
Au 0.000 8.086 2.768
```

Results
formation energy without anion corrections	45	meV/atom
DFT total energy	-5.24	eV/atom

=====

SmZnAgAs2 | PBE-GGA | relaxed

extended XYZ file:
```
5
Lattice="-0.012 -2.948 -3.127 2.929 3.145 -0.023 4.287 -3.966 3.722" Properties=species:S:1:pos:R:3 pbc="T T T"
Sm 4.225 -3.908 3.668
As 2.996 0.145 -0.148
As 4.223 -3.927 0.733
Zn 2.579 -2.407 -0.693
Ag 4.672 -1.405 1.307
```

Results
DFT total energy	-4.26	eV/atom

=====

GePt3N | PBE-GGA | relaxed

extended XYZ file:
```
5
Lattice="4.246 0.000 0.000 0.000 4.246 0.000 0.000 0.000 4.246" Properties=species:S:1:pos:R:3 pbc="T T T"
Pt 0.000 2.123 0.000
Pt 2.123 0.000 0.000
Pt 0.000 0.000 2.123
N 0.000 0.000 0.000
Ge 2.123 2.123 2.123
```

Results
relative energy among the computed polymorphs	0.0	meV/atom
formation energy without anion corrections	527	meV/atom
DFT total energy	-5.69	eV/atom

=====

MgAg2Os | PBE-GGA | relaxed

extended XYZ file:
```
4
Lattice="4.569 0.000 0.000 2.285 3.957 0.000 2.285 1.319 3.731" Properties=species:S:1:pos:R:3 pbc="T T T"
Ag 2.285 1.319 0.933
Mg 4.569 2.638 1.865
Os 6.854 3.957 2.798
Ag 0.000 0.000 0.000
```

Results
DFT total energy	-4.08	eV/atom

=====

RbVNiSe3 | PBE-GGA | relaxed

extended XYZ file:
```
12
Lattice="3.628 0.000 0.000 0.000 8.762 -1.159 0.000 -3.465 9.222" Properties=species:S:1:pos:R:3 pbc="T T T"
Ni 2.721 6.641 2.553
Rb 2.721 3.987 5.930
Se 2.721 7.250 0.293
Rb 0.907 1.310 2.134
Se 0.907 -1.952 7.770
Ni 0.907 -1.343 5.510
Se 0.907 5.251 3.182
Se 2.721 3.738 0.599
Se 0.907 1.559 7.464
V 2.721 -0.296 7.270
V 0.907 5.593 0.793
Se 2.721 0.047 4.881
```

Results
formation energy without anion corrections	-752	meV/atom
DFT total energy	-5.14	eV/atom

=====

Ba2HoInO5 | PBE-GGA | relaxed

extended XYZ file:
```
18
Lattice="3.612 0.000 0.000 -1.806 7.249 0.000 0.000 0.000 11.825" Properties=species:S:1:pos:R:3 pbc="T T T"
O 0.000 0.809 0.523
O 0.000 5.381 11.802
In 1.806 0.359 11.326
O 0.000 7.131 9.301
O 1.806 6.440 6.436
O 1.806 0.118 3.388
O 0.000 4.588 4.708
Ba 0.000 1.480 8.129
Ba 0.000 2.092 3.490
O 1.806 2.661 10.621
In 0.000 6.890 5.413
O 0.000 4.034 7.577
Ba 1.806 5.156 9.403
Ba 1.806 5.769 2.217
Ho 0.000 3.155 0.189
O 1.806 1.867 5.889
Ho 1.806 4.094 6.102
O 1.806 3.215 1.664
```

Results
formation energy without anion corrections	-2546	meV/atom
DFT total energy	-6.54	eV/atom

=====

Li5LaMg7 | PBE-GGA | relaxed

extended XYZ file:
```
13
Lattice="-2.285 2.195 4.440 3.084 -3.125 6.482 4.034 6.298 2.313" Properties=species:S:1:pos:R:3 pbc="T T T"
Mg 3.694 2.973 3.781
Li 2.825 2.236 12.067
Li 3.963 1.142 9.856
Li 4.434 5.816 7.788
Li 3.296 6.910 10.000
Mg 0.891 1.309 3.162
Li 3.909 4.055 10.057
Mg 2.687 5.404 5.412
Mg 3.808 2.829 7.262
La -2.268 2.196 4.448
Mg 1.043 2.541 5.981
Mg 3.414 0.199 5.009
Mg 2.138 -0.037 7.819
```

Results
DFT total energy	-2.03	eV/atom

=====

KTeAs2W | PBE-GGA | relaxed

extended XYZ file:
```
5
Lattice="-0.903 -4.373 -2.401 5.553 -1.093 -0.098 -0.387 -2.371 4.464" Properties=species:S:1:pos:R:3 pbc="T T T"
Te 2.777 -0.546 -0.049
K 0.000 0.000 0.000
As -0.194 -1.185 2.232
As -0.451 -2.186 -1.200
W 2.131 -3.918 0.982
```

Results
formation energy without anion corrections	2507	meV/atom
DFT total energy	-2.79	eV/atom

=====

SmPu2Ru | PBE-GGA | relaxed

extended XYZ file:
```
32
Lattice="5.945 0.000 0.000 0.000 9.466 0.000 0.000 0.000 14.458" Properties=species:S:1:pos:R:3 pbc="T T T"
Pu 5.648 8.900 11.373
Sm 1.524 7.100 1.542
Sm 3.186 2.367 2.086
Pu 1.462 4.185 13.930
Ru 4.554 7.100 2.548
Ru 4.363 7.100 9.777
Pu 1.462 0.548 13.930
Pu 3.269 8.900 4.143
Pu 3.269 5.300 4.143
Pu 4.434 5.281 7.757
Sm 4.496 2.367 5.687
Pu 1.510 0.548 6.701
Sm 5.730 2.367 9.315
Ru 1.391 2.367 11.911
Pu 0.296 4.166 3.086
Sm 1.448 7.100 8.771
Pu 0.296 0.567 3.086
Sm 4.420 2.367 12.917
Ru 1.581 2.367 4.682
Ru 0.123 2.367 1.053
Pu 2.676 4.166 10.315
Pu 4.434 8.918 7.757
Pu 1.510 4.185 6.701
Pu 2.676 0.567 10.315
Sm 2.758 7.100 12.372
Ru 5.821 7.100 13.406
Ru 2.849 2.367 8.282
Pu 4.482 5.281 0.528
Pu 5.648 5.300 11.373
Pu 4.482 8.918 0.528
Sm 0.214 7.100 5.143
Ru 3.096 7.100 6.177
```

Results
relative energy among the computed polymorphs	0.0	meV/atom
DFT total energy	-10.74	eV/atom

=====

NaNiHg2Pb | PBE-GGA | relaxed

extended XYZ file:
```
5
Lattice="5.137 0.000 0.000 0.000 5.137 0.000 0.000 0.000 5.010" Properties=species:S:1:pos:R:3 pbc="T T T"
Ni 0.000 0.000 0.000
Hg 2.568 0.000 0.000
Pb 0.000 0.000 2.505
Na 2.568 2.568 2.505
Hg 0.000 2.568 0.000
```

Results
DFT total energy	-2.29	eV/atom

=====

Ta2OsBr | PBE-GGA | relaxed

extended XYZ file:
```
4
Lattice="9.012 -0.027 -0.016 8.510 2.966 -0.016 8.510 1.427 2.600" Properties=species:S:1:pos:R:3 pbc="T T T"
Ta 0.095 0.016 0.009
Os 19.524 3.275 1.926
Ta 12.921 2.167 1.275
Br 6.508 1.092 0.642
```

Results
relative energy among the computed polymorphs	174.1	meV/atom
formation energy without anion corrections	315	meV/atom
DFT total energy	-8.84	eV/atom

=====

Pr2Al4SiPd3 | PBE-GGA | relaxed

extended XYZ file:
```
10
Lattice="-0.176 0.204 -4.342 3.518 -2.546 -0.262 -6.046 -8.341 -0.146" Properties=species:S:1:pos:R:3 pbc="T T T"
Al 0.000 0.000 0.000
Pd 0.992 -2.331 -0.150
Al 1.671 -1.171 -2.302
Pd -3.023 -4.170 -0.073
Al -3.919 -5.184 -2.263
Pr -1.623 -2.016 -2.208
Al -0.455 -4.328 -0.184
Si -1.352 -5.341 -2.375
Pd -5.367 -7.181 -2.298
Pr -2.752 -7.496 -0.240
```

Results
formation energy without anion corrections	-767	meV/atom
DFT total energy	-5.32	eV/atom

=====

Nd2PbC | PBE-GGA | relaxed

extended XYZ file:
```
4
Lattice="-2.801 -0.497 -2.341 0.651 -0.298 -3.614 0.173 -9.675 -1.050" Properties=species:S:1:pos:R:3 pbc="T T T"
Nd -0.140 -6.362 -1.379
Nd -1.837 -4.108 -5.626
Pb 0.000 0.000 0.000
C -0.989 -5.235 -3.502
```

Results
DFT total energy	-5.72	eV/atom

=====

Ti2SnPd3 | PBE-GGA | relaxed

extended XYZ file:
```
12
Lattice="-4.242 -0.669 1.438 3.367 0.425 2.999 -1.665 11.172 0.286" Properties=species:S:1:pos:R:3 pbc="T T T"
Pd -0.388 2.604 0.067
Sn -2.249 3.341 2.052
Pd -2.658 6.088 2.122
Pd -2.151 8.324 4.656
Ti 0.000 0.000 0.000
Pd -0.738 10.589 2.748
Pd -1.801 0.339 1.975
Ti -3.081 8.928 2.194
Pd 0.119 4.841 2.601
Ti 0.542 2.001 2.528
Sn -0.291 7.587 2.671
Ti -0.832 5.586 0.143
```

Results
relative energy among the computed polymorphs	0.0	meV/atom
DFT total energy	-6.46	eV/atom

=====

Cs2RbHg4 | PBE-GGA | relaxed

extended XYZ file:
```
7
Lattice="6.555 0.000 0.000 0.000 6.555 0.000 3.277 3.277 9.956" Properties=species:S:1:pos:R:3 pbc="T T T"
Rb 0.000 0.000 0.000
Hg 3.277 0.000 0.000
Cs 6.555 6.555 7.407
Hg 0.000 3.277 0.000
Hg 6.555 6.555 3.511
Cs 3.277 3.277 2.549
Hg 3.277 3.277 6.446
```

Results
DFT total energy	-0.62	eV/atom

=====

Y2ZnHAu | PBE-GGA | relaxed

extended XYZ file:
```
5
Lattice="4.957 0.000 0.000 0.000 4.957 0.000 0.000 0.000 3.890" Properties=species:S:1:pos:R:3 pbc="T T T"
Zn 2.478 2.478 1.945
H 0.000 0.000 0.000
Y 0.000 2.478 0.000
Y 2.478 0.000 0.000
Au 0.000 0.000 1.945
```

Results
relative energy among the computed polymorphs	33.5	meV/atom
DFT total energy	-4.62	eV/atom

=====

LiAgTe2 | PBE-GGA | relaxed

extended XYZ file:
```
4
Lattice="5.474 -0.015 -0.006 1.135 5.355 0.006 -2.745 -3.362 3.335" Properties=species:S:1:pos:R:3 pbc="T T T"
Te 6.582 5.319 0.000
Ag 3.016 -0.353 1.664
Te 3.330 2.691 0.000
Li 0.847 2.331 1.671
```

Results
formation energy without anion corrections	-198	meV/atom
DFT total energy	-2.96	eV/atom